First-principles (PBE) data for an optimized crystal structure of SrTc, as listed in Alexandria via LeMat-Bulk.

abc: 5.759 5.759 2.875
angles: 90.00 90.00 90.00
Positions (direct):
Sr1 0.250 0.750 0.000
Sr2 0.750 0.250 0.000
Tc1 0.250 0.250 0.500
Tc2 0.750 0.750 0.500

Results
energy of formation: 29.71 kcal/mol of atoms
space-group type: P4/mmm, No. 123
energy above the lowest structure with this stoichiometry: 2.08 eV/f.u.
DFT total energy: -4.736 eV per atom
magnetic moment: 0.00 μB per cell